(1)
A plane-wave DFT calculation with PBE was carried out for a geometry-optimized PrNd3Sm4Te8 structure.

abc: 8.956 8.956 8.956
angles: 59.96 59.96 59.96
Fractional coordinates of all 16 atoms:
Pr: 0.000 0.000 0.000
Nd: 0.000 0.500 0.500
Nd: 0.500 0.000 0.500
Nd: 0.500 0.500 0.000
Sm: 0.000 0.000 0.500
Sm: 0.000 0.500 0.000
Sm: 0.500 0.000 0.000
Sm: 0.500 0.500 0.500
Te: 0.249 0.249 0.249
Te: 0.249 0.748 0.748
Te: 0.252 0.252 0.751
Te: 0.252 0.751 0.252
Te: 0.748 0.249 0.748
Te: 0.748 0.748 0.249
Te: 0.751 0.252 0.252
Te: 0.751 0.751 0.751

Values from the calculation:
E_form (uncorrected): -1.401 eV per atom
Crystal system: trigonal

=====

(2)
A plane-wave DFT calculation with PBE was carried out for a geometry-optimized NiH3PdRh structure.

abc: 5.714 2.740 6.714
angles: 90.00 90.08 90.00
Fractional coordinates of all 12 atoms:
Ni: 0.160 0.250 0.074
Ni: 0.840 0.750 0.926
H: 0.149 0.750 0.917
H: 0.168 0.250 0.384
H: 0.446 0.250 0.181
H: 0.554 0.750 0.819
H: 0.832 0.750 0.616
H: 0.851 0.250 0.083
Pd: 0.132 0.250 0.668
Pd: 0.868 0.750 0.332
Rh: 0.385 0.750 0.349
Rh: 0.615 0.250 0.651

Values from the calculation:
Crystal system: monoclinic
Final energy: -4.6834 eV per atom

=====

(3)
A plane-wave DFT calculation with PBE was carried out for a geometry-optimized La2GaFeHg structure.

abc: 5.226 5.226 4.727
angles: 90.00 90.00 90.00
Fractional coordinates of all 5 atoms:
La: 0.000 0.500 0.000
La: 0.500 0.000 0.000
Ga: 0.000 0.000 0.500
Fe: 0.000 0.000 0.000
Hg: 0.500 0.500 0.500

Values from the calculation:
ΔE_f: -0.32 eV per atom
Crystal system: tetragonal

=====

(4)
A plane-wave DFT calculation with PBE was carried out for a geometry-optimized SrAcTlCl6 structure.

abc: 7.701 7.701 13.306
angles: 90.00 90.00 120.00
Fractional coordinates of all 18 atoms:
Sr: 0.333 0.667 0.250
Sr: 0.667 0.333 0.750
Ac: 0.333 0.667 0.750
Ac: 0.667 0.333 0.250
Tl: 0.000 0.000 0.000
Tl: 0.000 0.000 0.500
Cl: 0.002 0.364 0.634
Cl: 0.002 0.638 0.866
Cl: 0.362 0.364 0.866
Cl: 0.362 0.998 0.634
Cl: 0.364 0.002 0.134
Cl: 0.364 0.362 0.366
Cl: 0.636 0.638 0.634
Cl: 0.636 0.998 0.866
Cl: 0.638 0.002 0.366
Cl: 0.638 0.636 0.134
Cl: 0.998 0.362 0.134
Cl: 0.998 0.636 0.366

Values from the calculation:
E_form (uncorrected): -2.123 eV per atom
Crystal system: trigonal

=====

(5)
A plane-wave DFT calculation with PBE was carried out for a geometry-optimized YScAl3 structure.

abc: 5.031 5.031 5.031
angles: 90.00 90.00 90.00
Fractional coordinates of all 5 atoms:
Y: 0.000 0.000 0.000
Sc: 0.500 0.500 0.500
Al: 0.000 0.500 0.500
Al: 0.500 0.000 0.500
Al: 0.500 0.500 0.000

Values from the calculation:
ΔE_f: 0.42 eV per atom
Crystal system: cubic

=====

(6)
A plane-wave DFT calculation with PBE was carried out for a geometry-optimized Cs2RbNaI structure.

abc: 7.707 7.707 6.606
angles: 90.00 90.00 90.00
Fractional coordinates of all 5 atoms:
Cs: 0.000 0.500 0.000
Cs: 0.500 0.000 0.000
Rb: 0.000 0.000 0.500
Na: 0.500 0.500 0.500
I: 0.500 0.500 0.000

Values from the calculation:
E_form (uncorrected): -0.470 eV per atom
Crystal system: tetragonal

=====

Number 2 is which compound? NiH3PdRh